First-principles (GGA-PBE) data for a relaxed LaHoTlIn crystal, as listed in the Alexandria database.

Properties
Crystal system = cubic
SG = F-43m, No. 216

Cell lengths 5.4743, 5.4743, 5.4743 Å; angles 60.00, 60.00, 60.00 degrees
Closest atoms and distances in Å follow each position.
Fractional coordinates of all 4 atoms:
La 0.0000 0.0000 0.0000  4 Tl 3.35, 4 In 3.35
Tl 0.2500 0.2500 0.2500  4 La 3.35, 4 Ho 3.35
In 0.7500 0.7500 0.7500  4 Ho 3.35, 4 La 3.35
Ho 0.5000 0.5000 0.5000  4 In 3.35, 4 Tl 3.35

***

First-principles (GGA-PBE) data for a relaxed LaHoTmIn crystal, as listed in the Alexandria database.

Properties
Crystal system = cubic
SG = F-43m, No. 216

Cell lengths 5.5166, 5.5166, 5.5166 Å; angles 60.00, 60.00, 60.00 degrees
Closest atoms and distances in Å follow each position.
Fractional coordinates of all 4 atoms:
La 0.5000 0.5000 0.5000  4 In 3.38, 4 Ho 3.38
Ho 0.2500 0.2500 0.2500  4 La 3.38, 4 Tm 3.38
In 0.7500 0.7500 0.7500  4 La 3.38, 4 Tm 3.38
Tm 0.0000 0.0000 0.0000  4 In 3.38, 4 Ho 3.38

***

First-principles (GGA-PBE) data for a relaxed La2HoTm2In5 crystal, as listed in the Alexandria database.

Properties
Crystal system = tetragonal
SG = P4/mbm, No. 127

Cell lengths 4.6492, 11.0196, 11.0196 Å; angles 90.00, 90.00, 90.00 degrees
Closest atoms and distances in Å follow each position.
Fractional coordinates of all 20 atoms:
In 0.5000 0.5618 0.6949  2 Tm 3.14, 3 In 3.19-3.43, 2 Ho 3.24
Tm 0.0000 0.8762 0.3762  6 In 3.02-3.14, 3 La 3.12-3.36
In 0.5000 0.8051 0.9382  2 Tm 3.14, 3 In 3.19-3.43, 2 Ho 3.24
Ho 0.0000 0.0000 0.0000  8 In 3.24
In 0.5000 0.0618 0.8051  2 Tm 3.14, 3 In 3.19-3.43, 2 Ho 3.24
Tm 0.0000 0.3762 0.1238  6 In 3.02-3.14, 3 La 3.12-3.36
Tm 0.0000 0.6238 0.8762  6 In 3.02-3.14, 3 La 3.12-3.36
In 0.5000 0.9382 0.1949  2 Tm 3.14, 3 In 3.19-3.43, 2 Ho 3.24
In 0.5000 0.3051 0.5618  2 Tm 3.14, 3 In 3.19-3.43, 2 Ho 3.24
La 0.0000 0.1763 0.3237  3 Tm 3.12-3.36
In 0.5000 0.0000 0.5000  4 Tm 3.02
In 0.5000 0.6949 0.4382  2 Tm 3.14, 3 In 3.19-3.43, 2 Ho 3.24
In 0.5000 0.4382 0.3051  2 Tm 3.14, 3 In 3.19-3.43, 2 Ho 3.24
In 0.5000 0.5000 0.0000  4 Tm 3.02
La 0.0000 0.6763 0.1763  3 Tm 3.12-3.36
La 0.0000 0.8237 0.6763  3 Tm 3.12-3.36
La 0.0000 0.3237 0.8237  3 Tm 3.12-3.36
In 0.5000 0.1949 0.0618  2 Tm 3.14, 3 In 3.19-3.43, 2 Ho 3.24
Tm 0.0000 0.1238 0.6238  6 In 3.02-3.14, 3 La 3.12-3.36
Ho 0.0000 0.5000 0.5000  8 In 3.24

***

First-principles (GGA-PBE) data for a relaxed LaHoTmIn crystal, as listed in the Alexandria database.

Properties
Crystal system = cubic
SG = F-43m, No. 216

Cell lengths 5.4614, 5.4614, 5.4640 Å; angles 119.98, 119.98, 90.00 degrees
Closest atoms and distances in Å follow each position.
Fractional coordinates of all 4 atoms:
La 0.7500 0.2500 0.5000  4 Tm 3.35, 4 Ho 3.35
In 0.2500 0.7500 0.5000  4 Ho 3.35, 4 Tm 3.35
Ho 0.0000 0.0000 0.0000  4 La 3.35, 4 In 3.35
Tm 0.5000 0.5000 0.0000  4 La 3.35, 4 In 3.35

***

| no. | density of states at the Fermi level (states/eV per atom) | formation enthalpy at 0 K (eV per atom) | spin magnetization (μB/cell) |
| --- | --- | --- | --- |
| 1 | 0.531 | -0.4284 | 0.00 |
| 2 | 1.559 | -0.1391 | 0.85 |
| 3 | 0.879 | -0.3562 | 0.00 |
| 4 | 1.826 | -0.0747 | 0.98 |